Record 1
Al3RhBr | PBE-GGA | relaxed Values from VASP.

The structure in Quantum ESPRESSO input format:
```
&SYSTEM
  ibrav = 0, nat = 5, ntyp = 3
/
ATOMIC_SPECIES
Rh 102.91 Rh.upf
Al 26.98 Al.upf
Br 79.90 Br.upf
CELL_PARAMETERS angstrom
-1.828 -2.440 -3.813
-0.361 -4.020 2.747
-4.513 1.311 1.325
ATOMIC_POSITIONS crystal
Rh 0.500 0.500 0.500
Al 0.000 0.500 0.000
Al 0.000 0.000 0.500
Al 0.500 0.000 0.000
Br 0.000 0.000 0.000
```

Calculated values
The relative energy among the computed polymorphs comes out at 36.12 kcal/mol of atoms. The uncorrected formation energy is 1191 meV/atom. The calculation puts the density of states at the Fermi level at 0.91 states/eV/atom. The total energy is -14.30 eV per cell. As for the crystal system: cubic. The calculation puts the density at 3.8 g/cm³.

---

Record 2
LiTbEr4Se8 | PBE-GGA | relaxed Values from VASP.

The structure in Quantum ESPRESSO input format:
```
&SYSTEM
  ibrav = 0, nat = 14, ntyp = 4
/
ATOMIC_SPECIES
Li 6.94 Li.upf
Tb 158.93 Tb.upf
Er 167.26 Er.upf
Se 78.96 Se.upf
CELL_PARAMETERS angstrom
-1.231 -1.751 -8.021
4.432 -5.983 -3.670
-3.679 -7.153 -2.170
ATOMIC_POSITIONS crystal
Li 0.375 0.375 0.875
Tb 0.005 0.005 0.985
Er 0.626 0.626 0.123
Er 0.005 0.484 0.505
Er 0.484 0.005 0.505
Er 0.005 0.005 0.505
Se 0.246 0.765 0.742
Se 0.765 0.246 0.742
Se 0.246 0.246 0.742
Se 0.244 0.244 0.267
Se 0.756 0.226 0.262
Se 0.226 0.756 0.262
Se 0.756 0.756 0.262
Se 0.759 0.759 0.724
```

Calculated values
The uncorrected formation energy is -1777 meV/atom. The calculation puts the density of states at the Fermi level at 0.00 states/eV/atom. The total energy is -77.55 eV per cell. As for the crystal system: trigonal. The calculation puts the density at 6.0 g/cm³.

---

Record 3
Pm3Te3O | PBE-GGA | relaxed Values from VASP.

The structure in Quantum ESPRESSO input format:
```
&SYSTEM
  ibrav = 0, nat = 14, ntyp = 3
/
ATOMIC_SPECIES
Pm 145.00 Pm.upf
Te 127.60 Te.upf
O 16.00 O.upf
CELL_PARAMETERS angstrom
7.679 0.355 -0.092
-3.103 7.033 -0.092
-0.785 -1.267 7.458
ATOMIC_POSITIONS crystal
Pm 0.906 0.906 0.172
Pm 0.841 0.552 0.711
Pm 0.552 0.841 0.711
Pm 0.159 0.448 0.289
Pm 0.448 0.159 0.289
Pm 0.094 0.094 0.828
Te 0.612 0.612 0.343
Te 0.162 0.838 0.500
Te 0.838 0.162 0.500
Te 0.249 0.751 0.000
Te 0.751 0.249 0.000
Te 0.388 0.388 0.657
O 0.828 0.828 0.863
O 0.172 0.172 0.137
```

Calculated values
The relative energy among the computed polymorphs comes out at 0.85 kcal/mol of atoms. The uncorrected formation energy is -1840 meV/atom. The calculation puts the density of states at the Fermi level at 0.55 states/eV/atom. The total energy is -83.03 eV per cell. As for the crystal system: monoclinic. The calculation puts the density at 6.8 g/cm³.

---

Record 4
CdTe2As | PBE-GGA | relaxed Values from VASP.

The structure in Quantum ESPRESSO input format:
```
&SYSTEM
  ibrav = 0, nat = 4, ntyp = 3
/
ATOMIC_SPECIES
As 74.92 As.upf
Te 127.60 Te.upf
Cd 112.41 Cd.upf
CELL_PARAMETERS angstrom
-3.233 -0.821 -8.322
-0.478 -3.246 5.853
-2.305 0.877 1.843
ATOMIC_POSITIONS crystal
As 0.000 0.500 0.500
Te 0.000 0.000 0.000
Te 0.500 0.000 0.500
Cd 0.500 0.500 0.000
```

Calculated values
The relative energy among the computed polymorphs comes out at 2.67 kcal/mol of atoms. The uncorrected formation energy is 34 meV/atom. The calculation puts the density of states at the Fermi level at 0.37 states/eV/atom. The total energy is -11.71 eV per cell. As for the crystal system: monoclinic. The calculation puts the density at 6.6 g/cm³.

---

Record 5
SnAsPSe2 | PBE-GGA | relaxed Values from VASP.

The structure in Quantum ESPRESSO input format:
```
&SYSTEM
  ibrav = 0, nat = 5, ntyp = 4
/
ATOMIC_SPECIES
P 30.97 P.upf
As 74.92 As.upf
Sn 118.71 Sn.upf
Se 78.96 Se.upf
CELL_PARAMETERS angstrom
-0.284 3.304 4.020
-4.730 -1.843 1.181
2.225 -3.675 3.177
ATOMIC_POSITIONS crystal
P 0.500 0.500 0.500
As 0.000 0.000 0.500
Sn 0.000 0.000 0.000
Se 0.000 0.500 0.000
Se 0.500 0.000 0.000
```

Calculated values
The relative energy among the computed polymorphs comes out at 17.26 kcal/mol of atoms. The uncorrected formation energy is 1056 meV/atom. The calculation puts the density of states at the Fermi level at 0.92 states/eV/atom. The total energy is -15.75 eV per cell. As for the crystal system: tetragonal. The calculation puts the density at 4.4 g/cm³.

---

Record 6
LaZr2Nb | PBE-GGA | relaxed Values from VASP.

The structure in Quantum ESPRESSO input format:
```
&SYSTEM
  ibrav = 0, nat = 8, ntyp = 3
/
ATOMIC_SPECIES
Nb 92.91 Nb.upf
Zr 91.22 Zr.upf
La 138.91 La.upf
CELL_PARAMETERS angstrom
-5.196 -2.335 5.736
1.455 -7.738 -1.833
0.422 -5.092 4.005
ATOMIC_POSITIONS crystal
Nb 0.500 0.500 0.000
Nb 0.250 0.750 0.500
Zr 0.596 0.125 0.250
Zr 0.154 0.625 0.250
Zr 0.375 0.404 0.750
Zr 0.875 0.846 0.750
La 0.000 0.000 0.000
La 0.750 0.250 0.500
```

Calculated values
The relative energy among the computed polymorphs comes out at 10.96 kcal/mol of atoms. The value obtained for the formation energy is 0.600 eV/atom. The calculation puts the density of states at the Fermi level at 1.00 states/eV/atom. The total energy is -59.39 eV per cell. As for the crystal system: tetragonal. The calculation puts the density at 6.8 g/cm³.

---

Record 7
PmPr4In3 | PBE-GGA | relaxed Values from VASP.

The structure in Quantum ESPRESSO input format:
```
&SYSTEM
  ibrav = 0, nat = 8, ntyp = 3
/
ATOMIC_SPECIES
Pr 140.91 Pr.upf
In 114.82 In.upf
Pm 145.00 Pm.upf
CELL_PARAMETERS angstrom
1.395 1.560 5.154
2.173 -3.705 3.535
9.735 1.461 -0.076
ATOMIC_POSITIONS crystal
Pr 0.869 0.869 0.394
Pr 0.384 0.384 0.847
Pr 0.131 0.131 0.606
Pr 0.616 0.616 0.153
In 0.260 0.260 0.220
In 0.740 0.740 0.780
In 0.500 0.500 0.500
Pm 0.000 0.000 0.000
```

Calculated values
The value obtained for the formation energy is -0.324 eV/atom. The calculation puts the density of states at the Fermi level at 1.46 states/eV/atom. The total energy is -34.68 eV per cell. As for the crystal system: trigonal. The calculation puts the density at 7.0 g/cm³.

---

Record 8
Ac2Bi2Rh3 | PBE-GGA | relaxed Values from VASP.

The structure in Quantum ESPRESSO input format:
```
&SYSTEM
  ibrav = 0, nat = 7, ntyp = 3
/
ATOMIC_SPECIES
Ac 227.00 Ac.upf
Bi 208.98 Bi.upf
Rh 102.91 Rh.upf
CELL_PARAMETERS angstrom
4.002 0.000 0.000
-2.001 6.364 0.004
0.000 -3.362 6.885
ATOMIC_POSITIONS crystal
Ac 0.889 0.779 0.228
Ac 0.111 0.221 0.772
Bi 0.832 0.664 0.738
Bi 0.168 0.336 0.262
Rh 0.500 0.000 0.000
Rh 0.586 0.173 0.422
Rh 0.414 0.827 0.578
```

Calculated values
The relative energy among the computed polymorphs comes out at 2.79 kcal/mol of atoms. The value obtained for the formation energy is -0.542 eV/atom. The calculation puts the density of states at the Fermi level at 0.75 states/eV/atom. The total energy is -41.82 eV per cell. As for the crystal system: monoclinic. The calculation puts the density at 11.2 g/cm³.

---

Record 9
CeLuThIn | PBE-GGA | relaxed Values from VASP.

The structure in Quantum ESPRESSO input format:
```
&SYSTEM
  ibrav = 0, nat = 4, ntyp = 4
/
ATOMIC_SPECIES
Lu 174.97 Lu.upf
Ce 140.12 Ce.upf
Th 232.04 Th.upf
In 114.82 In.upf
CELL_PARAMETERS angstrom
5.426 0.000 0.000
2.713 4.699 0.000
2.713 1.566 4.430
ATOMIC_POSITIONS crystal
Lu 0.000 0.000 0.000
Ce 0.500 0.500 0.500
Th 0.750 0.750 0.750
In 0.250 0.250 0.250
```

Calculated values
The value obtained for the formation energy is -0.022 eV/atom. The calculation puts the density of states at the Fermi level at 1.71 states/eV/atom. The total energy is -20.70 eV per cell. As for the crystal system: cubic. The calculation puts the density at 9.7 g/cm³.

---

Record 10
NaScZnMo2 | PBE-GGA | relaxed Values from VASP.

The structure in Quantum ESPRESSO input format:
```
&SYSTEM
  ibrav = 0, nat = 5, ntyp = 4
/
ATOMIC_SPECIES
Sc 44.96 Sc.upf
Na 22.99 Na.upf
Mo 95.94 Mo.upf
Zn 65.41 Zn.upf
CELL_PARAMETERS angstrom
4.614 0.000 0.000
0.000 4.729 0.000
0.000 0.000 4.614
ATOMIC_POSITIONS crystal
Sc 0.000 0.500 0.000
Na 0.000 0.000 0.000
Mo 0.000 0.000 0.500
Mo 0.500 0.000 0.000
Zn 0.500 0.500 0.500
```

Calculated values
The relative energy among the computed polymorphs comes out at 17.51 kcal/mol of atoms. The value obtained for the formation energy is 2.039 eV/atom. The calculation puts the density of states at the Fermi level at 1.13 states/eV/atom. The total energy is -20.39 eV per cell. As for the crystal system: tetragonal. The calculation puts the density at 5.4 g/cm³.

---

Record 11
TbAg2Se2 | PBE-GGA | relaxed Values from VASP.

The structure in Quantum ESPRESSO input format:
```
&SYSTEM
  ibrav = 0, nat = 10, ntyp = 3
/
ATOMIC_SPECIES
Tb 158.93 Tb.upf
Ag 107.87 Ag.upf
Se 78.96 Se.upf
CELL_PARAMETERS angstrom
-0.031 -5.599 6.072
-1.085 -2.602 -4.860
5.028 -0.082 -2.505
ATOMIC_POSITIONS crystal
Tb 0.250 0.847 0.153
Tb 0.750 0.153 0.847
Ag 0.000 0.500 0.500
Ag 0.000 0.000 0.500
Ag 0.500 0.500 0.500
Ag 0.500 0.500 0.000
Se 0.136 0.290 0.127
Se 0.864 0.710 0.873
Se 0.364 0.873 0.710
Se 0.636 0.127 0.290
```

Calculated values
The uncorrected formation energy is -668 meV/atom. The calculation puts the density of states at the Fermi level at 0.35 states/eV/atom. The total energy is -41.28 eV per cell. As for the crystal system: monoclinic. The calculation puts the density at 7.6 g/cm³.

---

Record 12
KGaHgBr2 | PBE-GGA | relaxed Values from VASP.

The structure in Quantum ESPRESSO input format:
```
&SYSTEM
  ibrav = 0, nat = 5, ntyp = 4
/
ATOMIC_SPECIES
K 39.10 K.upf
Ga 69.72 Ga.upf
Hg 200.59 Hg.upf
Br 79.90 Br.upf
CELL_PARAMETERS angstrom
-3.459 -4.608 0.778
4.673 -3.416 0.549
0.020 0.857 5.167
ATOMIC_POSITIONS crystal
K 0.500 0.500 0.500
Ga 0.000 0.000 0.000
Hg 0.000 0.000 0.500
Br 0.000 0.500 0.000
Br 0.500 0.000 0.000
```

Calculated values
The uncorrected formation energy is -810 meV/atom. The calculation puts the density of states at the Fermi level at 0.17 states/eV/atom. The total energy is -11.82 eV per cell. As for the crystal system: tetragonal. The calculation puts the density at 4.4 g/cm³.

---

Record 13
Be2TlP | PBE-GGA | relaxed Values from VASP.

The structure in Quantum ESPRESSO input format:
```
&SYSTEM
  ibrav = 0, nat = 4, ntyp = 3
/
ATOMIC_SPECIES
P 30.97 P.upf
Tl 204.38 Tl.upf
Be 9.01 Be.upf
CELL_PARAMETERS angstrom
-2.879 1.759 2.907
-3.719 1.965 -1.462
-3.953 -1.938 0.669
ATOMIC_POSITIONS crystal
P 0.000 0.000 0.000
Tl 0.500 0.500 0.500
Be 0.250 0.250 0.250
Be 0.750 0.750 0.750
```

Calculated values
The relative energy among the computed polymorphs comes out at 15.65 kcal/mol of atoms. The value obtained for the formation energy is 0.863 eV/atom. The calculation puts the density of states at the Fermi level at 0.51 states/eV/atom. The total energy is -11.78 eV per cell. As for the crystal system: cubic. The calculation puts the density at 6.7 g/cm³.

---

Quick rundown of calculated volume, same order as above: 116.4, 406.7, 204.6, 112.1, 145.1, 100.6, 249.4, 175.4, 113.0, 100.7, 115.9, 177.1, 62.5 Å³/f.u.